Record 1
CrCd2Co after structural relaxation, computed with PBE.

a = 3.0323 Å, b = 3.7574 Å, c = 5.9086 Å
α = 90.00°, β = 90.00°, γ = 90.00°
With the nearest neighbours (Å) after each atom.
Fractional positions:
1 Cd 0.0000 0.0000 0.0096  4 Co 2.80, 4 Cd 2.84-3.07, 4 Cr 2.86
2 Cd 0.0000 0.0000 0.4904  4 Co 2.80, 4 Cd 2.84-3.07, 4 Cr 2.86
3 Co 0.5000 0.5000 0.2500  8 Cd 2.80, 2 Cr 2.95, 2 Co 3.03
4 Cr 0.5000 0.5000 0.7500  8 Cd 2.86, 2 Co 2.95, 2 Cr 3.03

Properties
- M_tot: 5.02 μB/cell
- Volume: 67 Å³ per cell
- Space group: Pmmm
- ΔE_f: 1.7 eV/f.u.

Record 2
Ho4SnTe5 after structural relaxation, computed with PBE.

a = 4.2448 Å, b = 9.0852 Å, c = 9.9951 Å
α = 106.27°, β = 102.26°, γ = 90.00°
With the nearest neighbours (Å) after each atom.
Fractional positions:
1 Sn 0.5000 0.0000 0.0000  6 Ho 3.19-3.24
2 Te 0.5000 0.5000 0.0000  4 Ho 3.03
3 Te 0.1667 0.8327 0.3333  4 Ho 3.01-3.08
4 Te 0.1536 0.3039 0.3071  3 Ho 2.99-3.02
5 Te 0.8333 0.1673 0.6667  4 Ho 3.01-3.08
6 Te 0.8464 0.6961 0.6929  3 Ho 2.99-3.02
7 Ho 0.0040 0.7405 0.0081  4 Te 2.99-3.04, 2 Sn 3.19
8 Ho 0.6729 0.0821 0.3458  5 Te 3.01-3.08, 1 Sn 3.24
9 Ho 0.9960 0.2595 0.9919  4 Te 2.99-3.04, 2 Sn 3.19
10 Ho 0.3271 0.9179 0.6542  5 Te 3.01-3.08, 1 Sn 3.24

Properties
- ΔE_f (raw): -1.08 eV/atom
- M_tot: 0.00 μB/cell
- Volume: 361 Å³ per cell
- Space group: C2/m

Record 3
ScNiSb after structural relaxation, computed with PBE.

a = 5.6793 Å, b = 5.6618 Å, c = 3.2929 Å
α = 73.41°, β = 72.83°, γ = 33.76°
With the nearest neighbours (Å) after each atom.
Fractional positions:
1 Sb 0.3531 0.3531 0.6469  4 Ni 2.76-2.80, 1 Sc 3.04
2 Sc 0.6474 0.6474 0.3526  4 Ni 2.77-2.80, 1 Sb 3.04
3 Ni 0.9995 0.9995 0.0005  4 Sb 2.76-2.80, 4 Sc 2.77-2.80

Properties
- ΔE_f (raw): -0.35 eV/atom
- M_tot: 0.00 μB/cell
- Volume: 56 Å³ per cell
- Space group: Fmm2

Record 4
CrTcBr after structural relaxation, computed with PBE.

a = 3.2289 Å, b = 3.2289 Å, c = 5.8497 Å
α = 90.00°, β = 90.00°, γ = 120.00°
With the nearest neighbours (Å) after each atom.
Fractional positions:
1 Tc 0.6667 0.3333 0.6060  3 Cr 2.32
2 Cr 0.3333 0.6667 0.3707  3 Tc 2.32
3 Br 0.0000 0.0000 0.0233  3 Cr 2.76, 3 Tc 3.07

Properties
- ΔE_f (raw): 0.40 eV/atom
- M_tot: 0.06 μB/cell
- Volume: 53 Å³ per cell
- Space group: P3m1

Record 5
Ho5In2Pb after structural relaxation, computed with PBE.

a = 8.3299 Å, b = 8.3299 Å, c = 8.8263 Å
α = 118.16°, β = 118.16°, γ = 90.00°
With the nearest neighbours (Å) after each atom.
Fractional positions:
1 In 0.8580 0.6420 0.0000  8 Ho 3.11-3.21, 1 In 3.34
2 In 0.6420 0.1420 0.0000  8 Ho 3.11-3.21, 1 In 3.34
3 In 0.1420 0.3580 0.0000  8 Ho 3.11-3.21, 1 In 3.34
4 In 0.3580 0.8580 0.0000  8 Ho 3.11-3.21, 1 In 3.34
5 Ho 0.1945 0.0040 0.6985  3 In 3.11-3.17, 2 Pb 3.41, 1 Ho 3.44
6 Ho 0.0000 0.0000 0.0000  4 In 3.21, 2 Pb 3.29
7 Ho 0.3055 0.8055 0.3015  3 In 3.11-3.17, 2 Pb 3.41, 1 Ho 3.44
8 Ho 0.5040 0.6945 0.6985  3 In 3.11-3.17, 2 Pb 3.41, 1 Ho 3.44
9 Ho 0.6945 0.1945 0.6985  3 In 3.11-3.17, 2 Pb 3.41, 1 Ho 3.44
10 Ho 0.5000 0.5000 0.0000  4 In 3.21, 2 Pb 3.29
11 Ho 0.8055 0.9960 0.3015  3 In 3.11-3.17, 2 Pb 3.41, 1 Ho 3.44
12 Ho 0.0040 0.5040 0.6985  3 In 3.11-3.17, 2 Pb 3.41, 1 Ho 3.44
13 Ho 0.4960 0.3055 0.3015  3 In 3.11-3.17, 2 Pb 3.41, 1 Ho 3.44
14 Ho 0.9960 0.4960 0.3015  3 In 3.11-3.17, 2 Pb 3.41, 1 Ho 3.44
15 Pb 0.7500 0.7500 0.5000  10 Ho 3.29-3.41
16 Pb 0.2500 0.2500 0.5000  10 Ho 3.29-3.41

Properties
- M_tot: 0.00 μB/cell
- Volume: 456 Å³ per cell
- Space group: I4/mcm
- ΔE_f: -3.2 eV/f.u.

Record 6
LiCaCeRu after structural relaxation, computed with PBE.

a = 4.9695 Å, b = 4.9695 Å, c = 4.9695 Å
α = 60.00°, β = 60.00°, γ = 60.00°
With the nearest neighbours (Å) after each atom.
Fractional positions:
1 Ca 0.0000 0.0000 0.0000  4 Li 3.04, 4 Ru 3.04
2 Ce 0.5000 0.5000 0.5000  4 Ru 3.04, 4 Li 3.04
3 Li 0.7500 0.7500 0.7500  4 Ce 3.04, 4 Ca 3.04
4 Ru 0.2500 0.2500 0.2500  4 Ca 3.04, 4 Ce 3.04

Properties
- M_tot: 0.62 μB/cell
- Volume: 87 Å³ per cell
- Space group: F-43m
- ΔE_f: 0.1 eV/f.u.

Record 7
Hg3As5Au12 after structural relaxation, computed with PBE.

a = 13.4661 Å, b = 13.4661 Å, c = 13.4661 Å
α = 109.47°, β = 109.47°, γ = 109.47°
With the nearest neighbours (Å) after each atom.
Fractional positions:
1 Au 0.2203 0.6685 0.0860  2 As 2.51-2.60
2 Au 0.7797 0.4481 0.3656  2 As 2.51-2.60
3 Au 0.0519 0.4175 0.8315  2 As 2.51-2.60
4 Au 0.5519 0.3315 0.9175  2 As 2.51-2.60
5 Au 0.3315 0.7797 0.4140  2 As 2.51-2.60
6 Au 0.9481 0.3656 0.2797  2 As 2.51-2.60
7 Au 0.8315 0.9140 0.2797  2 As 2.51-2.60
8 Au 0.0860 0.9175 0.3656  2 As 2.51-2.60
9 Au 0.4481 0.6685 0.0825  2 As 2.51-2.60
10 Au 0.4140 0.1344 0.5825  2 As 2.51-2.60
11 Au 0.1344 0.7203 0.5519  2 As 2.51-2.60
12 Au 0.4481 0.7797 0.8656  2 As 2.51-2.60
13 Au 0.3656 0.9481 0.7797  2 As 2.51-2.60
14 Au 0.6685 0.2203 0.5860  2 As 2.51-2.60
15 Au 0.3656 0.4175 0.0860  2 As 2.51-2.60
16 Au 0.1344 0.4140 0.0825  2 As 2.51-2.60
17 Au 0.5519 0.2203 0.1344  2 As 2.51-2.60
18 Au 0.8315 0.9175 0.0519  2 As 2.51-2.60
19 Au 0.1685 0.0825 0.9481  2 As 2.51-2.60
20 Au 0.9140 0.8315 0.7797  2 As 2.51-2.60
21 Au 0.5825 0.9481 0.6685  2 As 2.51-2.60
22 Au 0.4175 0.3656 0.5860  2 As 2.51-2.60
23 Au 0.0519 0.6344 0.7203  2 As 2.51-2.60
24 Au 0.8656 0.2797 0.4481  2 As 2.51-2.60
25 Au 0.0825 0.9140 0.1344  2 As 2.51-2.60
26 Au 0.5825 0.6344 0.4140  2 As 2.51-2.60
27 Au 0.2797 0.8656 0.9481  2 As 2.51-2.60
28 Au 0.0860 0.1685 0.2203  2 As 2.51-2.60
29 Au 0.6344 0.0519 0.2203  2 As 2.51-2.60
30 Au 0.7203 0.1344 0.0519  2 As 2.51-2.60
31 Au 0.4175 0.0519 0.3315  2 As 2.51-2.60
32 Au 0.9140 0.0825 0.6344  2 As 2.51-2.60
33 Au 0.6685 0.4481 0.5825  2 As 2.51-2.60
34 Au 0.9175 0.8315 0.5519  2 As 2.51-2.60
35 Au 0.3315 0.5519 0.4175  2 As 2.51-2.60
36 Au 0.9481 0.5825 0.1685  2 As 2.51-2.60
37 Au 0.7203 0.5860 0.1685  2 As 2.51-2.60
38 Au 0.0825 0.1685 0.4481  2 As 2.51-2.60
39 Au 0.1685 0.0860 0.7203  2 As 2.51-2.60
40 Au 0.2203 0.5519 0.6344  2 As 2.51-2.60
41 Au 0.2797 0.4140 0.8315  2 As 2.51-2.60
42 Au 0.5860 0.8656 0.4175  2 As 2.51-2.60
43 Au 0.9175 0.0860 0.8656  2 As 2.51-2.60
44 Au 0.7797 0.3315 0.9140  2 As 2.51-2.60
45 Au 0.4140 0.2797 0.3315  2 As 2.51-2.60
46 Au 0.8656 0.5860 0.9175  2 As 2.51-2.60
47 Au 0.6344 0.5825 0.9140  2 As 2.51-2.60
48 Au 0.5860 0.7203 0.6685  2 As 2.51-2.60
49 As 0.7500 0.6250 0.3750  4 Au 2.51
50 As 0.6250 0.7500 0.8750  4 Au 2.51
51 As 0.5000 0.0000 0.0000  6 Au 2.60
52 As 0.7500 0.1250 0.8750  4 Au 2.51
53 As 0.5000 0.5000 0.0000  6 Au 2.60
54 As 0.6250 0.8750 0.2500  4 Au 2.51
55 As 0.5000 0.5000 0.5000  6 Au 2.60
56 As 0.0000 0.5000 0.0000  6 Au 2.60
57 As 0.0000 0.5000 0.5000  6 Au 2.60
58 As 0.2500 0.8750 0.1250  4 Au 2.51
59 As 0.1250 0.3750 0.2500  4 Au 2.51
60 As 0.2500 0.3750 0.6250  4 Au 2.51
61 As 0.1250 0.7500 0.3750  4 Au 2.51
62 As 0.0000 0.0000 0.5000  6 Au 2.60
63 As 0.8750 0.2500 0.6250  4 Au 2.51
64 As 0.3750 0.2500 0.1250  4 Au 2.51
65 As 0.0000 0.0000 0.0000  6 Au 2.60
66 As 0.5000 0.0000 0.5000  6 Au 2.60
67 As 0.3750 0.1250 0.7500  4 Au 2.51
68 As 0.8750 0.6250 0.7500  4 Au 2.51
69 Hg 0.1250 0.8750 0.7500  8 Au 2.86-2.89
70 Hg 0.6250 0.3750 0.7500  8 Au 2.86-2.89
71 Hg 0.8750 0.7500 0.1250  8 Au 2.86-2.89
72 Hg 0.1250 0.2500 0.8750  8 Au 2.86-2.89
73 Hg 0.7500 0.8750 0.6250  8 Au 2.86-2.89
74 Hg 0.6250 0.2500 0.3750  8 Au 2.86-2.89
75 Hg 0.2500 0.6250 0.8750  8 Au 2.86-2.89
76 Hg 0.8750 0.1250 0.2500  8 Au 2.86-2.89
77 Hg 0.3750 0.7500 0.6250  8 Au 2.86-2.89
78 Hg 0.7500 0.3750 0.1250  8 Au 2.86-2.89
79 Hg 0.2500 0.1250 0.3750  8 Au 2.86-2.89
80 Hg 0.3750 0.6250 0.2500  8 Au 2.86-2.89

Properties
- M_tot: 0.00 μB/cell
- Volume: 1880 Å³ per cell
- Space group: Ia-3d
- ΔE_f: 3.6 eV/f.u.

Record 8
CsReC2 after structural relaxation, computed with PBE.

a = 6.2601 Å, b = 6.2601 Å, c = 6.2607 Å
α = 60.00°, β = 60.00°, γ = 90.00°
With the nearest neighbours (Å) after each atom.
Fractional positions:
1 C 0.8745 0.1250 0.2500  2 Re 1.92
2 C 0.8755 0.6250 0.2500  2 Re 1.92
3 C 0.3750 0.1255 0.7500  2 Re 1.92
4 C 0.8750 0.1245 0.7500  2 Re 1.92
5 Re 0.7500 0.2500 0.5000  4 C 1.92
6 Re 0.0000 0.0000 0.0000  4 C 1.92
7 Cs 0.5000 0.5000 0.0000  12 C 3.67, 4 Re 3.83, 4 Cs 3.83
8 Cs 0.2500 0.7500 0.5000  12 C 3.67, 4 Re 3.83, 4 Cs 3.83

Properties
- M_tot: 0.00 μB/cell
- Volume: 174 Å³ per cell
- Space group: Fd-3m
- ΔE_f: 1.8 eV/f.u.

Among the records above, which one has the lowest volume? CrTcBr